Computed, not measured: crystalline ErCu3Si at its relaxed geometry at the PBE level of DFT.

The structure in extended XYZ format:
```
10
Lattice="4.406 0.000 0.000 0.000 5.905 0.000 -0.004 0.000 5.889" Properties=species:S:1:pos:R:3 pbc="T T T"
Er 1.098 1.476 1.382
Er 3.303 4.429 4.506
Cu 1.100 0.282 4.267
Cu 1.100 2.670 4.267
Cu 1.107 4.429 0.306
Cu 3.295 1.476 5.583
Cu 3.301 3.235 1.622
Cu 3.301 5.622 1.622
Si 1.100 4.429 2.555
Si 3.302 1.476 3.334
```

Calculated values
Energy relative to the elements, uncorrected (meV/atom): -277
Raw total energy (eV per cell): -47.323
D(E_F) (states/eV/atom): 0.2774
Space group: P2_1/m, No. 11

=====

Computed, not measured: crystalline Er3Cu7Si4 at its relaxed geometry at the PBE level of DFT.

The structure in extended XYZ format:
```
14
Lattice="7.467 -2.027 0.000 7.467 2.027 0.000 -5.357 0.000 7.194" Properties=species:S:1:pos:R:3 pbc="T T T"
Er 0.000 0.000 0.000
Er 2.929 0.000 2.212
Er 6.649 0.000 4.982
Cu -2.679 0.000 3.597
Cu -0.039 0.000 2.953
Cu -0.348 0.000 7.016
Cu 3.664 0.000 5.051
Cu 5.914 0.000 2.144
Cu 9.926 0.000 0.178
Cu 9.617 0.000 4.241
Si -2.688 0.000 6.026
Si 1.242 0.000 5.139
Si 8.336 0.000 2.055
Si 12.265 0.000 1.168
```

Calculated values
Energy relative to the elements, uncorrected (meV/atom): -487
Raw total energy (eV per cell): -70.878
D(E_F) (states/eV/atom): 0.3432
Space group: C2/m, No. 12

=====

Computed, not measured: crystalline ErCu5Si2 at its relaxed geometry at the PBE level of DFT.

The structure in extended XYZ format:
```
8
Lattice="-1.914 3.372 4.528 1.914 -3.372 4.528 1.914 3.372 -4.528" Properties=species:S:1:pos:R:3 pbc="T T T"
Er 0.000 0.000 0.000
Cu 1.914 2.128 -1.323
Cu 1.914 2.128 1.323
Cu 0.000 3.372 0.000
Cu 0.000 1.244 3.205
Cu 0.000 1.244 5.851
Si 1.914 0.000 2.230
Si 0.000 3.372 2.298
```

Calculated values
Energy relative to the elements, uncorrected (meV/atom): -295
Raw total energy (eV per cell): -38.248
D(E_F) (states/eV/atom): 0.3613
Space group: Immm, No. 71

=====

Computed, not measured: crystalline Er2Cu5Si4 at its relaxed geometry at the PBE level of DFT.

The structure in extended XYZ format:
```
11
Lattice="0.000 4.557 6.947 2.719 0.000 6.947 2.719 4.557 0.000" Properties=species:S:1:pos:R:3 pbc="T T T"
Er 2.719 4.557 2.032
Er 2.719 4.557 11.863
Cu 1.359 2.278 0.000
Cu 1.359 2.278 3.474
Cu 1.359 2.278 6.947
Cu 2.719 4.557 6.947
Cu 4.078 6.835 10.421
Si 2.719 3.310 5.029
Si 2.719 5.803 5.029
Si 2.719 3.310 8.866
Si 2.719 5.803 8.866
```

Calculated values
Energy relative to the elements, uncorrected (meV/atom): -349
Raw total energy (eV per cell): -55.136
D(E_F) (states/eV/atom): 0.3043
Space group: Fmmm, No. 69